# Rb2HF

Rb2HF after structural relaxation (PBEsol, Alexandria).

Properties
- energy above the lowest structure with this stoichiometry (eV/atom) = 0.000
- crystal system = cubic
- size of the total moment (μB/f.u.) = 0.06
- space-group type = Fm-3m, No. 225
- total energy (eV/atom) = -3.1650

extended XYZ file:
```
4
Lattice="0.000 3.424 3.424 3.424 0.000 3.424 3.424 3.424 0.000" Properties=species:S:1:pos:R:3 pbc="T T T"
Rb 1.712 1.712 1.712
Rb 5.135 5.135 5.135
H 0.000 0.000 0.000
F 3.424 3.424 3.424
```